# MnTl2P SCAN PBEsol geometry
data_MnTl2P
_chemical_formula_sum 'Mn2 Tl4 P2'
_symmetry_space_group_name_H-M 'C m m m'
_symmetry_Int_Tables_number 65
_symmetry_space_group_name_Hall '-C 2 2'
_cell_length_a 6.178
_cell_length_b 8.259
_cell_length_c 3.223
_cell_angle_alpha 90.00
_cell_angle_beta 90.00
_cell_angle_gamma 90.00
loop_
_atom_site_label
_atom_site_type_symbol
_atom_site_fract_x
_atom_site_fract_y
_atom_site_fract_z
_atom_site_occupancy
Mn1 Mn 0.000 0.000 0.000 1
Tl1 Tl 0.250 0.250 0.500 1
P1 P 0.000 0.500 0.000 1
# Energy relative to the elements in eV/atom: 0.413
# Polymorph energy (0 for the lowest one) in kJ per mole of atoms: 28.65



# Fe2PbW SCAN PBEsol geometry
data_Fe2PbW
_chemical_formula_sum 'Fe4 Pb2 W2'
_symmetry_space_group_name_H-M 'I -4 m 2'
_symmetry_Int_Tables_number 119
_symmetry_space_group_name_Hall 'I -4 -2'
_cell_length_a 3.776
_cell_length_b 3.776
_cell_length_c 8.259
_cell_angle_alpha 90.00
_cell_angle_beta 90.00
_cell_angle_gamma 90.00
loop_
_atom_site_label
_atom_site_type_symbol
_atom_site_fract_x
_atom_site_fract_y
_atom_site_fract_z
_atom_site_occupancy
Fe1 Fe 0.000 0.000 0.000 1
Fe2 Fe 0.000 0.500 0.250 1
Pb1 Pb 0.000 0.000 0.500 1
W1 W 0.000 0.500 0.750 1
# Energy relative to the elements in eV/atom: 0.697



# Ca3Mg SCAN PBEsol geometry
data_Ca3Mg
_chemical_formula_sum 'Ca9 Mg3'
_symmetry_space_group_name_H-M 'R -3 m'
_symmetry_Int_Tables_number 166
_symmetry_space_group_name_Hall '-R 3 2"'
_cell_length_a 3.7777
_cell_length_b 3.7777
_cell_length_c 35.2388
_cell_angle_alpha 90.00
_cell_angle_beta 90.00
_cell_angle_gamma 120.00
loop_
_atom_site_label
_atom_site_type_symbol
_atom_site_fract_x
_atom_site_fract_y
_atom_site_fract_z
_atom_site_occupancy
Ca1 Ca 0.0000 0.0000 0.0000 1
Ca2 Ca 0.0000 0.0000 0.2426 1
Mg1 Mg 0.0000 0.0000 0.5000 1
# Energy relative to the elements in eV/atom: 0.048



# RbYNF2

A crystal of RbYNF2 relaxed with PBEsol (SCAN, the Alexandria database).

CIF file:
```
data_RbYNF2
_chemical_formula_sum 'Rb1 Y1 N1 F2'
_symmetry_space_group_name_H-M 'P 4/m m m'
_symmetry_Int_Tables_number 123
_symmetry_space_group_name_Hall '-P 4 2'
_cell_length_a 4.514
_cell_length_b 4.514
_cell_length_c 4.647
_cell_angle_alpha 90.00
_cell_angle_beta 90.00
_cell_angle_gamma 90.00
loop_
_atom_site_label
_atom_site_type_symbol
_atom_site_fract_x
_atom_site_fract_y
_atom_site_fract_z
_atom_site_occupancy
Rb1 Rb 0.000 0.000 0.000 1
Y1 Y 0.500 0.500 0.500 1
N1 N 0.000 0.000 0.500 1
F1 F 0.000 0.500 0.000 1
```



# YSi2IrI

A crystal of YSi2IrI relaxed with PBEsol (SCAN, the Alexandria database).

CIF file:
```
data_YSi2IrI
_chemical_formula_sum 'Y1 Si2 Ir1 I1'
_symmetry_space_group_name_H-M 'P 4/m m m'
_symmetry_Int_Tables_number 123
_symmetry_space_group_name_Hall '-P 4 2'
_cell_length_a 5.334
_cell_length_b 5.334
_cell_length_c 4.972
_cell_angle_alpha 90.00
_cell_angle_beta 90.00
_cell_angle_gamma 90.00
loop_
_atom_site_label
_atom_site_type_symbol
_atom_site_fract_x
_atom_site_fract_y
_atom_site_fract_z
_atom_site_occupancy
Y1 Y 0.000 0.000 0.000 1
Si1 Si 0.000 0.500 0.000 1
Ir1 Ir 0.000 0.000 0.500 1
I1 I 0.500 0.500 0.500 1
```



# Ba2LaZn SCAN PBEsol geometry
data_Ba2LaZn
_chemical_formula_sum 'Ba2 La1 Zn1'
_symmetry_space_group_name_H-M 'P 4 m m'
_symmetry_Int_Tables_number 99
_cell_length_a 3.942
_cell_length_b 3.942
_cell_length_c 10.013
_cell_angle_alpha 90.00
_cell_angle_beta 90.00
_cell_angle_gamma 90.00
loop_
_symmetry_equiv_pos_as_xyz
'x,y,z'
'-y,x,z'
'-x,-y,z'
'y,-x,z'
'-x,y,z'
'y,x,z'
'x,-y,z'
'-y,-x,z'
loop_
_atom_site_label
_atom_site_type_symbol
_atom_site_fract_x
_atom_site_fract_y
_atom_site_fract_z
_atom_site_occupancy
Ba1 Ba 0.000 0.000 0.000 1
Ba2 Ba 0.500 0.500 0.353 1
La1 La 0.000 0.000 0.648 1
Zn1 Zn 0.500 0.500 0.793 1
# Energy relative to the elements in eV/atom: -0.085



# LaTa2P SCAN PBEsol geometry
data_LaTa2P
_chemical_formula_sum 'La3 Ta6 P3'
_symmetry_space_group_name_H-M 'R 3 m'
_symmetry_Int_Tables_number 160
_symmetry_space_group_name_Hall 'R 3 -2"'
_cell_length_a 3.3286
_cell_length_b 3.3286
_cell_length_c 25.4558
_cell_angle_alpha 90.00
_cell_angle_beta 90.00
_cell_angle_gamma 120.00
loop_
_atom_site_label
_atom_site_type_symbol
_atom_site_fract_x
_atom_site_fract_y
_atom_site_fract_z
_atom_site_occupancy
La1 La 0.0000 0.0000 0.0000 1
Ta1 Ta 0.0000 0.0000 0.5192 1
Ta2 Ta 0.0000 0.0000 0.7708 1
P1 P 0.0000 0.0000 0.2472 1
# Energy relative to the elements in eV/atom: -0.069



# ZnBrN2F

A crystal of ZnBrN2F relaxed with PBEsol (SCAN, the Alexandria database).

CIF file:
```
data_ZnBrN2F
_chemical_formula_sum 'Zn1 Br1 N2 F1'
_symmetry_space_group_name_H-M 'P 4/m m m'
_symmetry_Int_Tables_number 123
_symmetry_space_group_name_Hall '-P 4 2'
_cell_length_a 4.048
_cell_length_b 4.048
_cell_length_c 3.885
_cell_angle_alpha 90.00
_cell_angle_beta 90.00
_cell_angle_gamma 90.00
loop_
_atom_site_label
_atom_site_type_symbol
_atom_site_fract_x
_atom_site_fract_y
_atom_site_fract_z
_atom_site_occupancy
Zn1 Zn 0.000 0.000 0.000 1
Br1 Br 0.500 0.500 0.500 1
N1 N 0.000 0.500 0.000 1
F1 F 0.000 0.000 0.500 1
```



# SrLiAs2 SCAN PBEsol geometry
data_SrLiAs2
_chemical_formula_sum 'Sr2 Li2 As4'
_symmetry_space_group_name_H-M 'I 4/m m m'
_symmetry_Int_Tables_number 139
_symmetry_space_group_name_Hall '-I 4 2'
_cell_length_a 4.510
_cell_length_b 4.510
_cell_length_c 8.511
_cell_angle_alpha 90.00
_cell_angle_beta 90.00
_cell_angle_gamma 90.00
loop_
_atom_site_label
_atom_site_type_symbol
_atom_site_fract_x
_atom_site_fract_y
_atom_site_fract_z
_atom_site_occupancy
Sr1 Sr 0.000 0.000 0.000 1
Li1 Li 0.000 0.000 0.500 1
As1 As 0.000 0.500 0.250 1
# Energy relative to the elements in eV/atom: -0.661
# Polymorph energy (0 for the lowest one) in kJ per mole of atoms: 8.74



# BaCuRu2 SCAN PBEsol geometry
data_BaCuRu2
_chemical_formula_sum 'Ba1 Cu1 Ru2'
_symmetry_space_group_name_H-M 'P 1 m 1'
_symmetry_Int_Tables_number 6
_cell_length_a 2.919
_cell_length_b 3.984
_cell_length_c 6.765
_cell_angle_alpha 90.00
_cell_angle_beta 100.76
_cell_angle_gamma 90.00
loop_
_symmetry_equiv_pos_as_xyz
'x,y,z'
'x,-y,z'
loop_
_atom_site_label
_atom_site_type_symbol
_atom_site_fract_x
_atom_site_fract_y
_atom_site_fract_z
_atom_site_occupancy
Ba1 Ba 0.000 0.000 0.000 1
Cu1 Cu 0.649 0.500 0.304 1
Ru1 Ru 0.284 0.500 0.635 1
Ru2 Ru 0.688 0.000 0.520 1
# Energy relative to the elements in eV/atom: 0.606
# Polymorph energy (0 for the lowest one) in kJ per mole of atoms: 0.00



# YBiC2 SCAN PBEsol geometry
data_YBiC2
_chemical_formula_sum 'Y4 Bi4 C8'
_symmetry_space_group_name_H-M 'I -4 2 d'
_symmetry_Int_Tables_number 122
_symmetry_space_group_name_Hall 'I -4 2bw'
_cell_length_a 5.943
_cell_length_b 5.943
_cell_length_c 8.092
_cell_angle_alpha 90.00
_cell_angle_beta 90.00
_cell_angle_gamma 90.00
loop_
_atom_site_label
_atom_site_type_symbol
_atom_site_fract_x
_atom_site_fract_y
_atom_site_fract_z
_atom_site_occupancy
Y1 Y 0.000 0.000 0.000 1
Bi1 Bi 0.000 0.000 0.500 1
C1 C 0.230 0.750 0.625 1
# Energy relative to the elements in eV/atom: 0.842



# Sr3AlN3

A crystal of Sr3AlN3 relaxed with PBEsol (SCAN, the Alexandria database).

CIF file:
```
data_Sr3AlN3
_chemical_formula_sum 'Sr6 Al2 N6'
_symmetry_space_group_name_H-M 'P 63/m'
_symmetry_Int_Tables_number 176
_symmetry_space_group_name_Hall '-P 6c'
_cell_length_a 7.5538
_cell_length_b 7.5538
_cell_length_c 5.3284
_cell_angle_alpha 90.00
_cell_angle_beta 90.00
_cell_angle_gamma 120.00
loop_
_atom_site_label
_atom_site_type_symbol
_atom_site_fract_x
_atom_site_fract_y
_atom_site_fract_z
_atom_site_occupancy
Sr1 Sr 0.0735 0.3587 0.2500 1
Al1 Al 0.3333 0.6667 0.7500 1
N1 N 0.1030 0.4087 0.7500 1
```



# Y4Al23Ni6 SCAN PBEsol geometry
data_Y4Al23Ni6
_chemical_formula_sum 'Y8 Al46 Ni12'
_symmetry_space_group_name_H-M 'C 1 2/m 1'
_symmetry_Int_Tables_number 12
_cell_length_a 15.697
_cell_length_b 4.035
_cell_length_c 18.158
_cell_angle_alpha 90.00
_cell_angle_beta 112.81
_cell_angle_gamma 90.00
loop_
_symmetry_equiv_pos_as_xyz
'x,y,z'
'-x,-y,-z'
'-x,y,-z'
'x,-y,z'
'x+1/2,y+1/2,z'
'-x+1/2,-y+1/2,-z'
'-x+1/2,y+1/2,-z'
'x+1/2,-y+1/2,z'
loop_
_atom_site_label
_atom_site_type_symbol
_atom_site_fract_x
_atom_site_fract_y
_atom_site_fract_z
_atom_site_occupancy
Y1 Y 0.073 0.000 0.407 1
Y2 Y 0.235 0.000 0.781 1
Al1 Al 0.000 0.500 0.500 1
Al2 Al 0.032 0.000 0.781 1
Al3 Al 0.066 0.000 0.940 1
Al4 Al 0.081 0.500 0.686 1
Al5 Al 0.090 0.500 0.053 1
Al6 Al 0.091 0.500 0.282 1
Al7 Al 0.111 0.000 0.164 1
Al8 Al 0.122 0.000 0.595 1
Al9 Al 0.145 0.500 0.857 1
Al10 Al 0.200 0.500 0.520 1
Al11 Al 0.227 0.000 0.325 1
Al12 Al 0.244 0.000 0.954 1
Ni1 Ni 0.008 0.500 0.139 1
Ni2 Ni 0.189 0.000 0.068 1
Ni3 Ni 0.228 0.500 0.399 1
# Energy relative to the elements in eV/atom: -0.577



# BaNbNO2

A crystal of BaNbNO2 relaxed with PBEsol (SCAN, the Alexandria database).

CIF file:
```
data_BaNbNO2
_chemical_formula_sum 'Ba1 Nb1 N1 O2'
_symmetry_space_group_name_H-M 'P 4/m m m'
_symmetry_Int_Tables_number 123
_symmetry_space_group_name_Hall '-P 4 2'
_cell_length_a 4.122
_cell_length_b 4.122
_cell_length_c 4.112
_cell_angle_alpha 90.00
_cell_angle_beta 90.00
_cell_angle_gamma 90.00
loop_
_atom_site_label
_atom_site_type_symbol
_atom_site_fract_x
_atom_site_fract_y
_atom_site_fract_z
_atom_site_occupancy
Ba1 Ba 0.000 0.000 0.000 1
Nb1 Nb 0.500 0.500 0.500 1
N1 N 0.500 0.500 0.000 1
O1 O 0.000 0.500 0.500 1
```



# Ca2GaC SCAN PBEsol geometry
data_Ca2GaC
_chemical_formula_sum 'Ca8 Ga4 C4'
_symmetry_space_group_name_H-M 'F m -3 m'
_symmetry_Int_Tables_number 225
_symmetry_space_group_name_Hall '-F 4 2 3'
_cell_length_a 6.742
_cell_length_b 6.742
_cell_length_c 6.742
_cell_angle_alpha 90.00
_cell_angle_beta 90.00
_cell_angle_gamma 90.00
loop_
_atom_site_label
_atom_site_type_symbol
_atom_site_fract_x
_atom_site_fract_y
_atom_site_fract_z
_atom_site_occupancy
Ca1 Ca 0.250 0.250 0.250 1
Ga1 Ga 0.000 0.000 0.000 1
C1 C 0.000 0.000 0.500 1
# Energy relative to the elements in eV/atom: 0.502



# MgInFeHg2 SCAN PBEsol geometry
data_MgInFeHg2
_chemical_formula_sum 'Mg1 In1 Fe1 Hg2'
_symmetry_space_group_name_H-M 'P 4/m m m'
_symmetry_Int_Tables_number 123
_symmetry_space_group_name_Hall '-P 4 2'
_cell_length_a 5.354
_cell_length_b 5.354
_cell_length_c 5.357
_cell_angle_alpha 90.00
_cell_angle_beta 90.00
_cell_angle_gamma 90.00
loop_
_atom_site_label
_atom_site_type_symbol
_atom_site_fract_x
_atom_site_fract_y
_atom_site_fract_z
_atom_site_occupancy
Mg1 Mg 0.000 0.000 0.000 1
In1 In 0.000 0.000 0.500 1
Fe1 Fe 0.500 0.500 0.000 1
Hg1 Hg 0.000 0.500 0.500 1
# Energy relative to the elements in eV/atom: 0.850
# Polymorph energy (0 for the lowest one) in kJ per mole of atoms: 51.55



# LiMg2Al SCAN PBEsol geometry
data_LiMg2Al
_chemical_formula_sum 'Li2 Mg4 Al2'
_symmetry_space_group_name_H-M 'C 1 m 1'
_symmetry_Int_Tables_number 8
_cell_length_a 10.060
_cell_length_b 3.052
_cell_length_c 5.151
_cell_angle_alpha 90.00
_cell_angle_beta 103.10
_cell_angle_gamma 90.00
loop_
_symmetry_equiv_pos_as_xyz
'x,y,z'
'x,-y,z'
'x+1/2,y+1/2,z'
'x+1/2,-y+1/2,z'
loop_
_atom_site_label
_atom_site_type_symbol
_atom_site_fract_x
_atom_site_fract_y
_atom_site_fract_z
_atom_site_occupancy
Li1 Li 0.000 0.000 0.000 1
Mg1 Mg 0.242 0.000 0.766 1
Mg2 Mg 0.480 0.000 0.474 1
Al1 Al 0.232 0.500 0.253 1
# Energy relative to the elements in eV/atom: -0.020



# CoPOs2 SCAN PBEsol geometry
data_CoPOs2
_chemical_formula_sum 'Co3 P3 Os6'
_symmetry_space_group_name_H-M 'R -3 m'
_symmetry_Int_Tables_number 166
_symmetry_space_group_name_Hall '-R 3 2"'
_cell_length_a 2.7515
_cell_length_b 2.7515
_cell_length_c 23.2397
_cell_angle_alpha 90.00
_cell_angle_beta 90.00
_cell_angle_gamma 120.00
loop_
_atom_site_label
_atom_site_type_symbol
_atom_site_fract_x
_atom_site_fract_y
_atom_site_fract_z
_atom_site_occupancy
Co1 Co 0.0000 0.0000 0.0000 1
P1 P 0.0000 0.0000 0.5000 1
Os1 Os 0.0000 0.0000 0.2451 1
# Energy relative to the elements in eV/atom: 0.203



# MoHI2N

A crystal of MoHI2N relaxed with PBEsol (SCAN, the Alexandria database).

CIF file:
```
data_MoHI2N
_chemical_formula_sum 'Mo1 H1 I2 N1'
_symmetry_space_group_name_H-M 'P 4/m m m'
_symmetry_Int_Tables_number 123
_symmetry_space_group_name_Hall '-P 4 2'
_cell_length_a 5.472
_cell_length_b 5.472
_cell_length_c 3.766
_cell_angle_alpha 90.00
_cell_angle_beta 90.00
_cell_angle_gamma 90.00
loop_
_atom_site_label
_atom_site_type_symbol
_atom_site_fract_x
_atom_site_fract_y
_atom_site_fract_z
_atom_site_occupancy
Mo1 Mo 0.000 0.000 0.000 1
H1 H 0.500 0.500 0.500 1
I1 I 0.000 0.500 0.000 1
N1 N 0.000 0.000 0.500 1
```



# TaCoBr2 SCAN PBEsol geometry
data_TaCoBr2
_chemical_formula_sum 'Ta1 Co1 Br2'
_symmetry_space_group_name_H-M 'P 4/m m m'
_symmetry_Int_Tables_number 123
_symmetry_space_group_name_Hall '-P 4 2'
_cell_length_a 3.187
_cell_length_b 3.187
_cell_length_c 6.185
_cell_angle_alpha 90.00
_cell_angle_beta 90.00
_cell_angle_gamma 90.00
loop_
_atom_site_label
_atom_site_type_symbol
_atom_site_fract_x
_atom_site_fract_y
_atom_site_fract_z
_atom_site_occupancy
Ta1 Ta 0.000 0.000 0.000 1
Co1 Co 0.000 0.000 0.500 1
Br1 Br 0.500 0.500 0.254 1
# Polymorph energy (0 for the lowest one) in kJ per mole of atoms: 79.97



Values for spin magnetization, μB per cell, ordered as above
8.73, 9.43, 0.65, 0.14, 0.01, 0.00, 0.00, 3.23, 0.00, 0.00, 0.00, 0.00, 0.00, 0.00, 0.00, 3.66, 0.01, 5.44, 0.02, 0.96
Values for VASP energy, eV for the cell shown, ordered as above
-343.4, -357.9, -101.3, -68.4, -147.8, -136.1, -560.8, -50.2, -135.4, -122.0, -493.0, -219.0, -811.5, -106.2, -175.1, -188.6, -40.3, -512.0, -118.2, -119.5